Material: Ba2WAu2
Method: DFT, PBE
State: optimized geometry

Geometry as CIF:
```
data_Ba2WAu2
_symmetry_space_group_name_H-M 'I 4/m m m'
_symmetry_Int_Tables_number 139
_symmetry_space_group_name_Hall '-I 4 2'
_cell_length_a 6.426
_cell_length_b 6.426
_cell_length_c 8.199
_cell_angle_alpha 90.00
_cell_angle_beta 90.00
_cell_angle_gamma 90.00
loop_
_atom_site_label
_atom_site_fract_x
_atom_site_fract_y
_atom_site_fract_z
_atom_site_occupancy
Ba1 0.000 0.500 0.250 1
W1 0.000 0.000 0.000 1
Au1 0.000 0.000 0.332 1
```

Output
VASP energy	-4.259	eV/atom
ΔH_f (0 K)	412	meV/atom